The following is a DFT calculation (PBE) of Cr3Hg after structural relaxation.

Geometry as POSCAR:
```
Cr3Hg
1.0
3.120 0.000 0.000
0.000 3.115 0.000
0.000 0.000 5.861
Cr Hg
3 1
direct
0.000 0.000 0.934
0.000 0.000 0.566
0.500 0.500 0.750
0.500 0.500 0.250
```

Output
The volume comes out at 14.2 A^3/atom. Its symmetry is P4/mmm, No. 123. The formation energy comes out at 0.40 eV per atom. As for the size of the total moment: 0.00 μB/f.u.



The following is a DFT calculation (PBE) of CrHg after structural relaxation.

Geometry as POSCAR:
```
CrHg
1.0
-3.612 0.439 2.996
-2.104 -0.930 -2.401
-2.307 -5.008 1.660
Hg Cr
2 2
direct
0.497 0.497 0.006
0.753 0.253 0.494
0.993 0.993 0.014
0.257 0.757 0.486
```

Output
The volume comes out at 19.5 A^3/atom. Its symmetry is Imma, No. 74. The formation energy comes out at 0.61 eV per atom. As for the size of the total moment: 4.11 μB/f.u.



The following is a DFT calculation (PBE) of CrHg after structural relaxation.

Geometry as POSCAR:
```
CrHg
1.0
-3.323 -0.384 1.480
-0.390 -3.210 -1.709
2.401 -2.778 4.671
Cr Hg
2 2
direct
0.000 0.000 0.980
0.500 0.500 0.270
0.500 0.500 0.782
0.000 0.000 0.468
```

Output
The volume comes out at 19.9 A^3/atom. Its symmetry is P4/nmm, No. 129. The formation energy comes out at 0.62 eV per atom. As for the size of the total moment: 4.13 μB/f.u.



The following is a DFT calculation (PBE) of Cr2Hg after structural relaxation.

Geometry as POSCAR:
```
Cr2Hg
1.0
1.523 5.112 -0.375
-1.523 5.112 -0.375
0.000 2.661 6.001
Cr Hg
4 2
direct
0.357 0.357 0.055
0.643 0.643 0.945
0.010 0.010 0.783
0.990 0.990 0.217
0.337 0.337 0.611
0.663 0.663 0.389
```

Output
The volume comes out at 16.1 A^3/atom. Its symmetry is C2/m, No. 12. The formation energy comes out at 0.41 eV per atom. The calculation puts the excess energy over the best structure of this formula in the dataset at 26 meV per atom. As for the size of the total moment: 0.01 μB/f.u.



The following is a DFT calculation (PBE) of CrHg after structural relaxation.

Geometry as POSCAR:
```
CrHg
1.0
-0.358 8.647 4.529
0.003 -4.532 8.653
2.917 0.095 0.049
Cr Hg
8 8
direct
0.525 0.867 0.000
0.025 0.367 0.500
0.133 0.525 0.000
0.975 0.633 0.500
0.367 0.975 0.500
0.475 0.133 0.000
0.633 0.025 0.500
0.867 0.475 0.000
0.337 0.360 0.500
0.860 0.163 0.000
0.360 0.663 0.500
0.837 0.860 0.000
0.140 0.837 0.000
0.163 0.140 0.000
0.663 0.640 0.500
0.640 0.337 0.500
```

Output
The volume comes out at 17.4 A^3/atom. Its symmetry is I4/m, No. 87. The formation energy comes out at 0.42 eV per atom. As for the size of the total moment: 0.00 μB/f.u.



The following is a DFT calculation (PBE) of Cr2Hg after structural relaxation.

Geometry as POSCAR:
```
Cr2Hg
1.0
0.000 3.528 3.528
3.528 0.000 3.528
3.528 3.528 0.000
Cr Hg
4 2
direct
0.125 0.125 0.125
0.125 0.625 0.125
0.625 0.125 0.125
0.125 0.125 0.625
0.750 0.750 0.750
0.500 0.500 0.500
```

Output
The volume comes out at 14.6 A^3/atom. Its symmetry is Fd-3m, No. 227. The formation energy comes out at 0.65 eV per atom. The calculation puts the excess energy over the best structure of this formula in the dataset at 268 meV per atom. As for the size of the total moment: 0.00 μB/f.u.



The following is a DFT calculation (PBE) of CrHg after structural relaxation.

Geometry as POSCAR:
```
CrHg
1.0
-7.108 4.623 -0.260
-2.155 -2.572 13.180
2.668 4.172 1.250
Hg Cr
16 16
direct
0.584 0.250 0.750
0.666 0.500 0.500
0.584 0.750 0.250
0.416 0.750 0.750
0.916 0.250 0.750
0.166 0.000 0.500
0.084 0.750 0.750
0.834 0.000 0.500
0.084 0.250 0.250
0.916 0.750 0.250
0.416 0.250 0.250
0.334 0.000 0.000
0.666 0.000 0.000
0.334 0.500 0.500
0.834 0.500 0.000
0.166 0.500 0.000
0.500 0.933 0.500
0.000 0.933 0.000
0.750 0.317 0.250
0.000 0.567 0.500
0.250 0.817 0.250
0.250 0.317 0.750
0.000 0.433 0.500
0.500 0.067 0.500
0.500 0.567 0.000
0.250 0.683 0.250
0.750 0.683 0.750
0.000 0.067 0.000
0.500 0.433 0.000
0.750 0.183 0.250
0.750 0.817 0.750
0.250 0.183 0.750
```

Output
The volume comes out at 18.4 A^3/atom. Its symmetry is Fddd, No. 70. The formation energy comes out at 0.85 eV per atom. As for the size of the total moment: 0.00 μB/f.u.



The following is a DFT calculation (PBE) of Cr2Hg after structural relaxation.

Geometry as POSCAR:
```
Cr2Hg
1.0
-4.230 0.313 2.626
-3.336 -3.686 -0.419
4.714 1.108 1.202
Cr Hg
2 1
direct
0.667 0.667 0.000
0.000 0.000 0.000
0.333 0.333 0.000
```

Output
The volume comes out at 17.8 A^3/atom. Its symmetry is Immm, No. 71. The formation energy comes out at 0.87 eV per atom. The calculation puts the excess energy over the best structure of this formula in the dataset at 485 meV per atom. As for the size of the total moment: 7.29 μB/f.u.